The following is a PBE calculation of a relaxed structure of PmTc, from OQMD via LeMat-Bulk. Values from VASP.

```
&SYSTEM
  ibrav = 0, nat = 2, ntyp = 2
/
ATOMIC_SPECIES
Tc 98.00 Tc.upf
Pm 145.00 Pm.upf
CELL_PARAMETERS angstrom
3.428 0.000 0.000
-1.714 2.969 0.000
0.000 0.000 4.342
ATOMIC_POSITIONS crystal
Tc 0.333 0.667 0.250
Pm 0.667 0.333 0.750
```

Summary:
The total energy is -13.8 eV/cell. The calculation puts the formation enthalpy at 0 K at 665 meV/atom. The value obtained for the size of the total moment is 0.033 μB per atom.